Record 1
# PBE ZnCuRe, optimized geometry
# - crystal system = cubic
# - DOS(E_F) (states/eV per atom) = 0.449
# - E_tot (eV/cell) = -60.70
data_ZnCuRe
_chemical_formula_sum 'Zn4 Cu4 Re4'
_cell_length_a 5.7270
_cell_length_b 5.7270
_cell_length_c 5.7270
_cell_angle_alpha 90.00
_cell_angle_beta 90.00
_cell_angle_gamma 90.00
_symmetry_space_group_name_H-M 'F -4 3 m'
_symmetry_Int_Tables_number 216
_symmetry_space_group_name_Hall 'F -4 2 3'
loop_
_atom_site_label
_atom_site_fract_x
_atom_site_fract_y
_atom_site_fract_z
_atom_site_occupancy
Zn1 0.0000 0.0000 0.0000 1
Cu1 0.2500 0.2500 0.7500 1
Re1 0.0000 0.0000 0.5000 1

=====

Record 2
# PBE Zn2CuRe, optimized geometry
# - crystal system = trigonal
# - DOS(E_F) (states/eV per atom) = 0.476
# - E_tot (eV/cell) = -56.21
data_Zn2CuRe
_chemical_formula_sum 'Zn6 Cu3 Re3'
_cell_length_a 2.7296
_cell_length_b 2.7296
_cell_length_c 26.0396
_cell_angle_alpha 90.00
_cell_angle_beta 90.00
_cell_angle_gamma 120.00
_symmetry_space_group_name_H-M 'R -3 m'
_symmetry_Int_Tables_number 166
_symmetry_space_group_name_Hall '-R 3 2"'
loop_
_atom_site_label
_atom_site_fract_x
_atom_site_fract_y
_atom_site_fract_z
_atom_site_occupancy
Zn1 0.0000 0.0000 0.2468 1
Cu1 0.0000 0.0000 0.5000 1
Re1 0.0000 0.0000 0.0000 1

=====

Record 3
# PBE Zn2CuRe, optimized geometry
# - crystal system = orthorhombic
# - DOS(E_F) (states/eV per atom) = 0.382
# - E_tot (eV/cell) = -18.26
data_Zn2CuRe
_chemical_formula_sum 'Zn2 Cu1 Re1'
_cell_length_a 2.6698
_cell_length_b 3.5594
_cell_length_c 5.7669
_cell_angle_alpha 90.00
_cell_angle_beta 90.00
_cell_angle_gamma 90.00
_symmetry_space_group_name_H-M 'P m m m'
_symmetry_Int_Tables_number 47
_symmetry_space_group_name_Hall '-P 2 2'
loop_
_atom_site_label
_atom_site_fract_x
_atom_site_fract_y
_atom_site_fract_z
_atom_site_occupancy
Zn1 0.0000 0.0000 0.2343 1
Cu1 0.5000 0.5000 0.0000 1
Re1 0.5000 0.5000 0.5000 1

=====

> Number 3 is which compound?

Zn2CuRe